Material: RbYS3
Method: DFT, GGA-PBE
State: optimized geometry

Cell: 5.207 5.207 5.207 Å, 90.00 90.00 90.00°
Atoms (fractional coordinates):
Rb  0.000  0.000  0.000
Y  0.500  0.500  0.500
S  0.000  0.000  0.500
S  0.000  0.500  0.000
S  0.500  0.000  0.000

Properties
The value obtained for the density of states at the Fermi level is 1.7 states/eV per cell. As for the crystal system: cubic. As for the energy above the most stable polymorph in this dataset: 1.484 eV/atom. Its formation energy (no corrections) is 0.44 eV/atom. The calculation puts the total magnetic moment at 0.00 μB per cell.